La3DyTh2Sb6: relaxed, GGA-PBE.

abc: 7.8545 13.6203 7.8914
angles: 90.00 109.40 90.00
Last column: nearest neighbours and their distance in Å.
Space group C2/m (No. 12)
Asymmetric unit:
La  0.0000  0.0000  0.0000 x2  6 Sb 3.25-3.27
La  0.0000  0.3319  0.0000 x4  6 Sb 3.24-3.27
Dy  0.0000  0.5000  0.5000 x2  6 Sb 3.15
Th  0.0000  0.1661  0.5000 x4  6 Sb 3.18-3.19
Sb  0.2446  0.3352  0.7402 x8  1 Dy 3.15, 2 Th 3.18-3.19, 3 La 3.24-3.27
Sb  0.2484  0.5000  0.2577 x4  1 Dy 3.15, 2 Th 3.19, 3 La 3.25-3.27

The volume is 796.3 Å³ per cell. Its raw total energy is -72.7 eV per formula unit. For the density of states at the Fermi level, the calculation gives 6.2 states/eV/cell.